No. 1
# LaNiSn2Au

A geometry-optimized LaNiSn2Au structure (GGA-PBE, OQMD via LeMat-Bulk).

a = 4.6152 Å, b = 4.6107 Å, c = 10.5227 Å
α = 90.00°, β = 90.44°, γ = 90.00°
Closest atoms and distances in Å follow each position.
Fractional positions:
1 Au 0.7329 0.2500 0.4998  4 Sn 2.81-2.82
2 Au 0.2671 0.7500 0.5002  4 Sn 2.81-2.82
3 La 0.2582 0.2500 0.2467  8 Sn 3.41-3.48, 4 Au 3.44-3.61, 5 Ni 3.54-3.76
4 La 0.7418 0.7500 0.7533  8 Sn 3.41-3.48, 4 Au 3.44-3.61, 5 Ni 3.54-3.76
5 Ni 0.7503 0.7500 0.1110  5 Sn 2.49-2.59
6 Ni 0.2497 0.2500 0.8890  5 Sn 2.49-2.59
7 Sn 0.7514 0.2500 0.0000  4 Ni 2.58-2.59
8 Sn 0.2486 0.7500 0.0000  4 Ni 2.58-2.59
9 Sn 0.7664 0.7500 0.3471  1 Ni 2.49
10 Sn 0.2336 0.2500 0.6529  1 Ni 2.49

Values from the calculation:
- Space group: P2_1/m, No. 11
- Crystal system: monoclinic
- DFT total energy: -50.0 eV/cell

***

No. 2
# CuAg9

A geometry-optimized CuAg9 structure (GGA-PBE, OQMD via LeMat-Bulk).

a = 2.9210 Å, b = 2.9210 Å, c = 20.3569 Å
α = 90.00°, β = 90.00°, γ = 90.00°
Closest atoms and distances in Å follow each position.
Fractional positions:
1 Ag 0.5000 0.5000 0.0868  4 Cu 2.72, 8 Ag 2.92-2.95
2 Ag 0.0000 0.0000 0.1900  12 Ag 2.92-2.95
3 Ag 0.5000 0.5000 0.2931  12 Ag 2.92-2.95
4 Ag 0.0000 0.0000 0.3967  12 Ag 2.92-2.95
5 Ag 0.5000 0.5000 0.5000  12 Ag 2.92-2.95
6 Ag 0.0000 0.0000 0.6033  12 Ag 2.92-2.95
7 Ag 0.5000 0.5000 0.7069  12 Ag 2.92-2.95
8 Ag 0.0000 0.0000 0.8100  12 Ag 2.92-2.95
9 Ag 0.5000 0.5000 0.9132  4 Cu 2.72, 8 Ag 2.92-2.95
10 Cu 0.0000 0.0000 0.0000  8 Ag 2.72, 4 Cu 2.92

Values from the calculation:
- Space group: P4/mmm, No. 123
- Distance to the lowest polymorph of the same formula: 0 meV per atom
- E_form: 1.7 kJ/mol of atoms
- Crystal system: tetragonal
- DFT total energy: -29.0 eV/cell